A plane-wave DFT calculation with GGA-PBE was carried out for a geometry-optimized CaAcTlGa structure.

## Properties
As for the formation energy from the elements: -0.4120 eV/atom. The mass density comes out at 7.37 g cm⁻³. Its energy above the most stable polymorph in this dataset is 0.0060 eV per atom. As for the crystal system: cubic.

abc: 5.566 5.566 5.566
angles: 60.00 60.00 60.00
Sites, in units of the cell vectors:
Ac 0.250 0.250 0.250
Ca 0.750 0.750 0.750
Tl 0.500 0.500 0.500
Ga 0.000 0.000 0.000

=====

A plane-wave DFT calculation with GGA-PBE was carried out for a geometry-optimized FeHgW structure.

## Properties
As for the formation energy from the elements: 0.4598 eV/atom. The mass density comes out at 14.98 g cm⁻³. Its energy above the most stable polymorph in this dataset is 0.1832 eV per atom. As for the crystal system: orthorhombic.

abc: 2.846 16.948 4.048
angles: 90.00 90.00 90.00
Sites, in units of the cell vectors:
Hg 0.000 0.697 0.250
Hg 0.000 0.303 0.750
Hg 0.500 0.197 0.250
Hg 0.500 0.803 0.750
W 0.000 0.918 0.250
W 0.000 0.082 0.750
W 0.500 0.418 0.250
W 0.500 0.582 0.750
Fe 0.000 0.541 0.250
Fe 0.000 0.459 0.750
Fe 0.500 0.041 0.250
Fe 0.500 0.959 0.750

=====

A plane-wave DFT calculation with GGA-PBE was carried out for a geometry-optimized Pr2SnOs structure.

## Properties
As for the formation energy from the elements: 0.2481 eV/atom. The mass density comes out at 7.03 g cm⁻³. As for the crystal system: trigonal.

abc: 4.030 4.030 10.196
angles: 78.60 78.60 60.00
Sites, in units of the cell vectors:
Pr 0.112 0.112 0.663
Pr 0.888 0.888 0.337
Os 0.500 0.500 0.500
Sn 0.000 0.000 0.000

=====

A plane-wave DFT calculation with GGA-PBE was carried out for a geometry-optimized ReSi2W structure.

## Properties
The mass density comes out at 12.60 g cm⁻³. The energy relative to the elements, uncorrected comes out at 0.16 eV per formula unit. Its energy above the most stable polymorph in this dataset is 0.3423 eV per atom. As for the crystal system: orthorhombic.

abc: 5.025 5.025 5.025
angles: 143.33 131.43 62.37
Sites, in units of the cell vectors:
Re 0.241 0.741 0.500
Si 0.010 0.010 0.000
Si 0.746 0.246 0.500
W 0.504 0.504 0.000

=====

A plane-wave DFT calculation with GGA-PBE was carried out for a geometry-optimized Li2Y2ScIn2 structure.

## Properties
As for the formation energy from the elements: -0.2220 eV/atom. The mass density comes out at 4.51 g cm⁻³. As for the crystal system: trigonal.

abc: 4.755 4.755 9.185
angles: 75.00 75.00 60.00
Sites, in units of the cell vectors:
Li 0.615 0.615 0.154
Li 0.385 0.385 0.846
Y 0.125 0.125 0.624
Y 0.875 0.875 0.376
Sc 0.000 0.000 0.000
In 0.733 0.733 0.800
In 0.267 0.267 0.200

=====

A plane-wave DFT calculation with GGA-PBE was carried out for a geometry-optimized LaMg2Sc structure.

## Properties
As for the formation energy from the elements: 0.0449 eV/atom. The mass density comes out at 3.54 g cm⁻³. As for the crystal system: trigonal.

abc: 11.290 11.290 11.290
angles: 17.13 17.13 17.13
Sites, in units of the cell vectors:
La 0.750 0.750 0.750
Mg 0.994 0.994 0.994
Mg 0.506 0.506 0.506
Sc 0.250 0.250 0.250

=====

A plane-wave DFT calculation with GGA-PBE was carried out for a geometry-optimized LiCrHg structure.

## Properties
As for the formation energy from the elements: 0.2479 eV/atom. The mass density comes out at 8.11 g cm⁻³. Its energy above the most stable polymorph in this dataset is 0.0000 eV per atom. As for the crystal system: orthorhombic.

abc: 5.068 5.068 5.068
angles: 143.65 135.98 58.37
Site moments in Bohr magnetons follow the coordinates.
Sites, in units of the cell vectors:
Cr 0.999 0.999 0.000  3.70
Hg 0.332 0.332 0.000  -0.01
Li 0.669 0.669 0.000  -0.01

=====

A plane-wave DFT calculation with GGA-PBE was carried out for a geometry-optimized ZnTcHg3 structure.

## Properties
As for the formation energy from the elements: 1.0360 eV/atom. The mass density comes out at 9.86 g cm⁻³. Its energy above the most stable polymorph in this dataset is 0.2460 eV per atom. As for the crystal system: cubic.

abc: 5.051 5.051 5.051
angles: 90.00 90.00 90.00
Site moments in Bohr magnetons follow the coordinates.
Sites, in units of the cell vectors:
Zn 0.000 0.000 0.000  0.01
Hg 0.000 0.500 0.000  0.01
Hg 0.000 0.000 0.500  0.02
Hg 0.500 0.000 0.000  0.02
Tc 0.500 0.500 0.500  3.50